(1)
A plane-wave DFT calculation with GGA-PBE was carried out for crystalline LaPb2Au at its relaxed geometry.

As for the energy above the most stable polymorph in this dataset: 475 meV/atom. For the formation energy, the calculation gives -0.31 eV per formula unit. As for the uncorrected energy: -15.93 eV for the cell shown. The calculation puts the spin magnetization at 0.000 μB/cell.

abc: 10.035 10.035 10.035
angles: 21.26 21.26 21.26
Element x y z (fractional)
La 0.000 0.000 0.000
Pb 0.237 0.237 0.237
Pb 0.763 0.763 0.763
Au 0.500 0.500 0.500

=====

(2)
A plane-wave DFT calculation with GGA-PBE was carried out for crystalline LaPb2Au at its relaxed geometry.

As for the energy above the most stable polymorph in this dataset: 146 meV/atom. For the formation energy, the calculation gives -1.63 eV per formula unit. As for the uncorrected energy: -17.25 eV for the cell shown. The calculation puts the spin magnetization at 0.000 μB/cell.

abc: 5.058 5.058 4.741
angles: 90.00 90.00 102.53
Element x y z (fractional)
La 0.000 0.000 0.000
Pb 0.293 0.707 0.500
Pb 0.707 0.293 0.500
Au 0.500 0.500 0.000

=====

(3)
A plane-wave DFT calculation with GGA-PBE was carried out for crystalline LaPb2Au at its relaxed geometry.

As for the energy above the most stable polymorph in this dataset: 173 meV/atom. For the formation energy, the calculation gives -1.52 eV per formula unit. As for the uncorrected energy: -17.14 eV for the cell shown. The calculation puts the spin magnetization at 0.001 μB/cell.

abc: 3.868 3.868 7.647
angles: 90.00 90.00 90.00
Element x y z (fractional)
La 0.000 0.000 0.000
Pb 0.000 0.000 0.545
Pb 0.500 0.500 0.298
Au 0.500 0.500 0.787

=====

(4)
A plane-wave DFT calculation with GGA-PBE was carried out for crystalline LaPb2Au at its relaxed geometry.

As for the energy above the most stable polymorph in this dataset: 293 meV/atom. For the formation energy, the calculation gives -1.04 eV per formula unit. As for the uncorrected energy: -16.66 eV for the cell shown. The calculation puts the spin magnetization at 0.000 μB/cell.

abc: 3.952 3.952 7.539
angles: 90.00 90.00 104.16
Element x y z (fractional)
La 0.000 0.000 0.000
Pb 0.500 0.500 0.286
Pb 0.500 0.500 0.714
Au 0.000 0.000 0.500